# GGA-PBE CuGeMo2, optimized geometry
data_CuGeMo2
_symmetry_space_group_name_H-M 'F -4 3 m'
_symmetry_Int_Tables_number 216
_symmetry_space_group_name_Hall 'F -4 2 3'
_cell_length_a 6.181
_cell_length_b 6.181
_cell_length_c 6.181
_cell_angle_alpha 90.00
_cell_angle_beta 90.00
_cell_angle_gamma 90.00
loop_
_atom_site_label
_atom_site_fract_x
_atom_site_fract_y
_atom_site_fract_z
Cu1 0.000 0.000 0.000
Ge1 0.250 0.250 0.750
Mo1 0.000 0.000 0.500
Mo2 0.250 0.250 0.250
# Uncorrected energy in eV for the cell shown: -116.15
# Size of the total moment in μB per cell: 0.05



# GGA-PBE CuGeMoPd, optimized geometry
data_CuGeMoPd
_symmetry_space_group_name_H-M 'F -4 3 m'
_symmetry_Int_Tables_number 216
_symmetry_space_group_name_Hall 'F -4 2 3'
_cell_length_a 6.181
_cell_length_b 6.181
_cell_length_c 6.181
_cell_angle_alpha 90.00
_cell_angle_beta 90.00
_cell_angle_gamma 90.00
loop_
_atom_site_label
_atom_site_fract_x
_atom_site_fract_y
_atom_site_fract_z
Cu1 0.000 0.000 0.000
Ge1 0.250 0.250 0.750
Mo1 0.000 0.000 0.500
Pd1 0.250 0.250 0.250
# Uncorrected energy in eV for the cell shown: -95.87
# Size of the total moment in μB per cell: 2.36
# Relative energy among the computed polymorphs in meV per atom: 0.0